# 1
# KIn2OsC

KIn2OsC after structural relaxation (PBE, Alexandria).

Values from the calculation:
E   -0.1859 Ry/atom
Symmetry   P4/mmm (123)
ΔH_f (0 K)   2.88 eV/atom
Magnetic moment   3.84 Bohr magnetons per cell

abc: 5.743 4.304 5.743
angles: 90.00 90.00 90.00
Last column: magnetic moment on the atom in μB.
Sites, in units of the cell vectors:
K 0.000 0.000 0.000  0.03
In 0.000 0.000 0.500  -0.04
C 0.000 0.500 0.000  0.57
In 0.500 0.000 0.000  -0.02
Os 0.500 0.500 0.500  2.64

=====

# 2
# CrCuRe2

CrCuRe2 after structural relaxation (PBE, Alexandria).

Values from the calculation:
Energy above the lowest structure with this stoichiometry   3 meV per atom
E   -0.6928 Ry/atom
Symmetry   Cmmm (65)
ΔH_f (0 K)   0.23 eV/atom
Magnetic moment   0.00 Bohr magnetons per cell

abc: 2.618 2.618 8.522
angles: 90.00 90.00 109.45
Sites, in units of the cell vectors:
Cu 0.500 0.500 0.750
Re 0.000 0.000 0.009
Re 0.000 0.000 0.491
Cr 0.500 0.500 0.250

=====

Question: Number 2 is which compound?
Answer: CrCuRe2

=====

Question: Look up the ΔH_f (0 K) of the first one.
Answer: 2.88 eV/atom

=====

Question: Look up the E of the second one.
Answer: -0.6928 Ry/atom